# 1
Material: CaNbW3
Method: DFT, PBE
State: optimized geometry

a b c (Å): 4.5883 4.5883 4.5883
angles (deg): 90.00 90.00 90.00
With the nearest neighbours (Å) after each atom.
Sites, in units of the cell vectors:
Ca: 0.0000 0.0000 0.0000  6 W 2.29
Nb: 0.5000 0.5000 0.5000  12 W 3.24
W: 0.0000 0.0000 0.5000  2 Ca 2.29
W: 0.0000 0.5000 0.0000  2 Ca 2.29
W: 0.5000 0.0000 0.0000  2 Ca 2.29

Summary:
Crystal system: cubic
Polymorph energy (0 for the lowest one) in eV/f.u.: 5.616
Symmetry: Pm-3m, No. 221
Energy relative to the elements in eV/atom: 2.96

=====

# 2
Material: LaF3
Method: DFT, PBE
State: optimized geometry

a b c (Å): 6.7715 6.7715 4.7051
angles (deg): 90.00 90.00 102.41
With the nearest neighbours (Å) after each atom.
Sites, in units of the cell vectors:
La: 0.0000 0.0000 0.0000  6 F 2.32-2.50
La: 0.0000 0.5000 0.5000  12 F 2.52-2.70
La: 0.5000 0.0000 0.5000  12 F 2.52-2.70
La: 0.5000 0.5000 0.0000  6 F 2.32-2.50
F: 0.1252 0.3748 0.0000  4 La 2.50-2.70, 6 F 2.60-2.70
F: 0.1303 0.8697 0.6024  3 La 2.32-2.52, 4 F 2.45-2.57
F: 0.2500 0.2500 0.5000  8 F 2.57-2.70, 2 La 2.64
F: 0.2500 0.7500 0.1556  6 F 2.45-2.60, 4 La 2.67-2.74
F: 0.3697 0.6303 0.6024  3 La 2.32-2.52, 4 F 2.45-2.57
F: 0.3748 0.1252 0.0000  4 La 2.50-2.70, 6 F 2.60-2.70
F: 0.6252 0.8748 0.0000  4 La 2.50-2.70, 6 F 2.60-2.70
F: 0.6303 0.3697 0.3976  3 La 2.32-2.52, 4 F 2.45-2.57
F: 0.7500 0.2500 0.8444  6 F 2.45-2.60, 4 La 2.67-2.74
F: 0.7500 0.7500 0.5000  8 F 2.57-2.70, 2 La 2.64
F: 0.8697 0.1303 0.3976  3 La 2.32-2.52, 4 F 2.45-2.57
F: 0.8748 0.6252 0.0000  4 La 2.50-2.70, 6 F 2.60-2.70

Summary:
Crystal system: orthorhombic
Symmetry: Cmme, No. 67

=====

# 3
Material: Li2ZnP
Method: DFT, PBE
State: optimized geometry

a b c (Å): 4.6354 4.6354 4.6354
angles (deg): 130.46 130.46 72.67
With the nearest neighbours (Å) after each atom.
Sites, in units of the cell vectors:
Li: 0.0000 0.0000 0.0000  4 Li 2.69, 4 P 2.69, 4 Zn 2.75
Li: 0.7500 0.2500 0.5000  4 Li 2.69, 4 Zn 2.69, 4 P 2.75
Zn: 0.5000 0.5000 0.0000  8 Li 2.69-2.75, 4 P 2.69
P: 0.2500 0.7500 0.5000  8 Li 2.69-2.75, 4 Zn 2.69

Summary:
Crystal system: tetragonal
Polymorph energy (0 for the lowest one) in eV/f.u.: 0.313
Symmetry: I-4m2, No. 119
Energy relative to the elements in eV/atom: -0.31

=====

# 4
Material: TlIn2Rh
Method: DFT, PBE
State: optimized geometry

a b c (Å): 4.3256 5.7494 5.7494
angles (deg): 39.04 90.00 90.00
With the nearest neighbours (Å) after each atom.
Sites, in units of the cell vectors:
Tl: 0.0000 0.0000 0.0000  3 In 3.00-3.09, 4 Rh 3.00
In: 0.0000 0.2766 0.2766  2 Rh 2.70, 1 Tl 3.00
In: 0.5000 0.6889 0.6889  1 Rh 2.85, 4 In 3.05
Rh: 0.5000 0.4260 0.4260  3 In 2.70-2.85, 4 Tl 3.00

Summary:
Crystal system: orthorhombic
Polymorph energy (0 for the lowest one) in eV/f.u.: 0.744
Symmetry: Amm2, No. 38
Energy relative to the elements in eV/atom: 0.05

=====

# 5
Material: LuHfCdIn
Method: DFT, PBE
State: optimized geometry

a b c (Å): 5.0618 5.0618 5.0618
angles (deg): 60.00 60.00 60.00
With the nearest neighbours (Å) after each atom.
Sites, in units of the cell vectors:
Lu: 0.0000 0.0000 0.0000  4 Cd 3.10, 4 In 3.10
Hf: 0.5000 0.5000 0.5000  4 Cd 3.10, 4 In 3.10
Cd: 0.2500 0.2500 0.2500  4 Hf 3.10, 4 Lu 3.10
In: 0.7500 0.7500 0.7500  4 Hf 3.10, 4 Lu 3.10

Summary:
Crystal system: cubic
Symmetry: F-43m, No. 216
Energy relative to the elements in eV/atom: -0.13

=====

# 6
Material: PrGa2CuPd4
Method: DFT, PBE
State: optimized geometry

a b c (Å): 9.0908 9.0908 9.0908
angles (deg): 27.40 27.40 27.40
With the nearest neighbours (Å) after each atom.
Sites, in units of the cell vectors:
Pr: 0.0000 0.0000 0.0000  8 Pd 3.09-3.44
Ga: 0.2351 0.2351 0.2351  7 Pd 2.60-2.72
Ga: 0.7649 0.7649 0.7649  7 Pd 2.60-2.72
Cu: 0.5000 0.5000 0.5000  8 Pd 2.54-2.65
Pd: 0.1312 0.1312 0.1312  4 Ga 2.63-2.72, 3 Cu 2.65
Pd: 0.4032 0.4032 0.4032  1 Cu 2.54, 3 Ga 2.60
Pd: 0.5968 0.5968 0.5968  1 Cu 2.54, 3 Ga 2.60
Pd: 0.8688 0.8688 0.8688  4 Ga 2.63-2.72, 3 Cu 2.65

Summary:
Crystal system: trigonal
Symmetry: R-3m, No. 166
Energy relative to the elements in eV/atom: -0.61

=====

# 7
Material: Ac2YGa
Method: DFT, PBE
State: optimized geometry

a b c (Å): 5.1559 5.1559 4.9835
angles (deg): 90.00 90.00 90.00
With the nearest neighbours (Å) after each atom.
Sites, in units of the cell vectors:
Ac: 0.0000 0.5000 0.0000  4 Y 3.59, 4 Ga 3.59, 4 Ac 3.65
Ac: 0.5000 0.0000 0.0000  4 Y 3.59, 4 Ga 3.59, 4 Ac 3.65
Y: 0.0000 0.0000 0.5000  8 Ac 3.59, 4 Ga 3.65
Ga: 0.5000 0.5000 0.5000  8 Ac 3.59, 4 Y 3.65

Summary:
Crystal system: tetragonal
Polymorph energy (0 for the lowest one) in eV/f.u.: 0.290
Symmetry: P4/mmm, No. 123
Energy relative to the elements in eV/atom: -0.09

=====

# 8
Material: NdGdMgOs
Method: DFT, PBE
State: optimized geometry

a b c (Å): 5.0996 5.0996 5.0996
angles (deg): 60.00 60.00 60.00
With the nearest neighbours (Å) after each atom.
Sites, in units of the cell vectors:
Nd: 0.0000 0.0000 0.0000  4 Mg 3.12, 4 Os 3.12
Gd: 0.5000 0.5000 0.5000  4 Mg 3.12, 4 Os 3.12
Mg: 0.2500 0.2500 0.2500  4 Gd 3.12, 4 Nd 3.12
Os: 0.7500 0.7500 0.7500  4 Gd 3.12, 4 Nd 3.12

Summary:
Crystal system: cubic
Symmetry: F-43m, No. 216
Energy relative to the elements in eV/atom: -0.04

=====

# 9
Material: Sn3POs
Method: DFT, PBE
State: optimized geometry

a b c (Å): 5.1050 5.1050 5.1050
angles (deg): 90.00 90.00 90.00
With the nearest neighbours (Å) after each atom.
Sites, in units of the cell vectors:
Sn: 0.0000 0.0000 0.5000  2 Os 2.55
Sn: 0.0000 0.5000 0.0000  2 Os 2.55
Sn: 0.5000 0.0000 0.0000  2 Os 2.55
P: 0.5000 0.5000 0.5000  12 Sn 3.61
Os: 0.0000 0.0000 0.0000  6 Sn 2.55

Summary:
Crystal system: cubic
Polymorph energy (0 for the lowest one) in eV/f.u.: 0.000
Symmetry: Pm-3m, No. 221
Energy relative to the elements in eV/atom: 0.48

=====

# 10
Material: Tm2Cu5Ni5
Method: DFT, PBE
State: optimized geometry

a b c (Å): 4.0474 4.8858 8.4657
angles (deg): 90.00 90.00 90.00
With the nearest neighbours (Å) after each atom.
Sites, in units of the cell vectors:
Tm: 0.0000 0.0000 0.0000  6 Ni 2.80-2.83
Tm: 0.0000 0.5000 0.5000  6 Ni 2.82-2.86
Cu: 0.5000 0.0000 0.5000  4 Cu 2.46, 4 Ni 2.46
Cu: 0.5000 0.2503 0.2483  5 Ni 2.43-2.48, 3 Cu 2.44-2.46
Cu: 0.5000 0.2503 0.7517  5 Ni 2.43-2.48, 3 Cu 2.44-2.46
Cu: 0.5000 0.7497 0.2483  5 Ni 2.43-2.48, 3 Cu 2.44-2.46
Cu: 0.5000 0.7497 0.7517  5 Ni 2.43-2.48, 3 Cu 2.44-2.46
Ni: 0.0000 0.0000 0.3348  6 Cu 2.46-2.48
Ni: 0.0000 0.0000 0.6652  6 Cu 2.46-2.48
Ni: 0.0000 0.5000 0.1624  2 Ni 2.45, 4 Cu 2.47
Ni: 0.0000 0.5000 0.8376  2 Ni 2.45, 4 Cu 2.47
Ni: 0.5000 0.5000 0.0000  4 Cu 2.43, 4 Ni 2.45

Summary:
Crystal system: orthorhombic
Polymorph energy (0 for the lowest one) in eV/f.u.: 0.000
Symmetry: Pmmm, No. 47
Energy relative to the elements in eV/atom: -0.29

=====

# 11
Material: SiTcNiRh
Method: DFT, PBE
State: optimized geometry

a b c (Å): 8.1018 8.1018 8.1018
angles (deg): 19.71 19.71 19.71
With the nearest neighbours (Å) after each atom.
Sites, in units of the cell vectors:
Si: 0.0000 0.0000 0.0000  3 Ni 2.32, 3 Tc 2.52
Tc: 0.2516 0.2516 0.2516  3 Si 2.52, 3 Rh 2.67, 6 Tc 2.77
Ni: 0.4036 0.4036 0.4036  3 Si 2.32
Rh: 0.8285 0.8285 0.8285  3 Tc 2.67, 3 Ni 2.71, 6 Rh 2.77

Summary:
Crystal system: trigonal
Symmetry: R3m, No. 160

=====

# 12
Material: PmAlSb2
Method: DFT, PBE
State: optimized geometry

a b c (Å): 5.3344 5.3344 5.3344
angles (deg): 60.00 60.00 60.00
With the nearest neighbours (Å) after each atom.
Sites, in units of the cell vectors:
Pm: 0.0000 0.0000 0.0000  8 Sb 3.27
Al: 0.5000 0.5000 0.5000  8 Sb 3.27
Sb: 0.2500 0.2500 0.2500  4 Al 3.27, 4 Pm 3.27
Sb: 0.7500 0.7500 0.7500  4 Pm 3.27, 4 Al 3.27

Summary:
Crystal system: cubic
Polymorph energy (0 for the lowest one) in eV/f.u.: 0.901
Symmetry: Fm-3m, No. 225

=====

no.,energy (eV/atom),M_tot (μB per cell)
1,-7.22,0.000
2,-6.64,0.248
3,-2.94,0.000
4,-3.75,0.000
5,-4.66,0.000
6,-5.07,0.000
7,-4.52,0.002
8,-7.96,7.069
9,-5.25,0.599
10,-5.15,0.000
11,-7.40,0.000
12,-4.41,0.000